A relaxed structure of Tb3Ga6Pt5, computed with PBE.

```
28
Lattice="4.304 0.000 0.000 0.000 9.325 0.000 0.000 0.000 12.810" Properties=species:S:1:pos:R:3 pbc="T T T"
Tb 0.000 2.340 8.966
Tb 2.152 6.985 2.561
Tb 2.152 6.985 10.249
Tb 0.000 2.352 0.000
Tb 2.152 6.973 6.405
Tb 0.000 2.340 3.844
Ga 0.000 9.107 10.841
Ga 2.152 0.218 8.374
Ga 2.152 3.776 10.514
Ga 2.152 5.406 0.000
Ga 0.000 3.919 6.405
Ga 0.000 5.550 8.701
Ga 0.000 5.550 4.109
Ga 2.152 8.893 0.000
Ga 0.000 9.107 1.969
Ga 2.152 3.776 2.296
Ga 0.000 0.432 6.405
Ga 2.152 0.218 4.436
Pt 0.000 4.953 11.302
Pt 0.000 8.120 8.383
Pt 0.000 7.384 0.000
Pt 2.152 4.373 7.913
Pt 2.152 1.941 6.405
Pt 0.000 4.953 1.508
Pt 2.152 4.373 4.897
Pt 0.000 8.120 4.427
Pt 2.152 1.205 10.832
Pt 2.152 1.205 1.978
```

A relaxed structure of TbGa4Pt12, computed with PBE.

```
17
Lattice="7.424 0.000 0.000 -2.475 6.999 0.000 -2.475 -3.500 6.061" Properties=species:S:1:pos:R:3 pbc="T T T"
Tb 0.000 0.000 0.000
Ga -1.237 3.500 0.000
Ga 3.712 0.000 0.000
Ga 1.237 1.750 3.031
Ga -1.237 -1.750 3.031
Pt 4.959 1.743 1.168
Pt 0.953 2.951 0.926
Pt 3.996 -1.222 3.968
Pt -0.010 -1.617 5.136
Pt -1.521 4.722 2.093
Pt 1.521 0.548 5.136
Pt 2.465 -0.140 2.093
Pt 0.010 3.639 3.968
Pt 2.484 5.117 0.926
Pt 3.428 2.825 3.043
Pt -0.953 0.674 3.019
Pt -2.484 1.757 4.894
```

no.,VASP energy (eV for the cell shown)
1,-151.81
2,-92.00